Entry 1:
Computed, not measured: a relaxed Ho5H crystal at the PBE level of DFT.

Calculated values
Symmetry: P6/mmm (191)
Calculated total energy (eV/atom): -3.36

abc: 6.383 6.383 5.901
angles: 90.00 90.00 120.00
Fractional positions:
Ho  0.000  0.500  0.000
Ho  0.333  0.667  0.500
Ho  0.500  0.000  0.000
Ho  0.500  0.500  0.000
Ho  0.667  0.333  0.500
H  0.000  0.000  0.500

Entry 2:
Computed, not measured: a relaxed Ho2H5 crystal at the PBE level of DFT.

Calculated values
Symmetry: I4_1md (109)
Calculated total energy (eV/atom): -4.36

abc: 6.260 6.260 6.260
angles: 132.23 132.23 69.87
Fractional positions:
Ho  0.000  0.000  0.000
Ho  0.245  0.745  0.500
Ho  0.495  0.495  0.000
Ho  0.750  0.250  0.500
H  0.123  0.105  0.483
H  0.123  0.640  0.017
H  0.247  0.247  0.000
H  0.390  0.373  0.517
H  0.390  0.872  0.017
H  0.622  0.105  0.983
H  0.622  0.640  0.517
H  0.855  0.373  0.983
H  0.855  0.872  0.483
H  0.997  0.497  0.500

Entry 3:
Computed, not measured: a relaxed HoH crystal at the PBE level of DFT.

Calculated values
Symmetry: P-6m2 (187)
Calculated total energy (eV/atom): -4.10

abc: 3.281 3.281 3.224
angles: 90.00 90.00 120.00
Fractional positions:
Ho  0.000  0.000  0.000
H  0.333  0.667  0.500